Record 1
The following is a PBEsol calculation of an optimized crystal structure of RePPtCl2, from the Alexandria database.

Summary:
Space-group type: No. 123
Relative energy among the computed polymorphs: 0.000 eV per atom
Fermi-level density of states: 0.864 states/eV/atom
Raw formation energy: 959 meV/atom
Theoretical density: 8.31 g cm⁻³
Electronic total energy: -25.31 eV/cell

Unit cell a=4.483 b=4.483 c=4.803 alpha=90.00 beta=90.00 gamma=90.00
Element x y z (fractional)
Re 0.000 0.000 0.000
P 0.000 0.000 0.500
Pt 0.500 0.500 0.500
Cl 0.000 0.500 0.000
Cl 0.500 0.000 0.000

***

Record 2
The following is a PBEsol calculation of an optimized crystal structure of Li2LaIn, from the Alexandria database.

Summary:
Space-group type: No. 12
Fermi-level density of states: 0.757 states/eV/atom
Theoretical density: 4.67 g cm⁻³
Electronic total energy: -25.91 eV/cell

Unit cell a=10.044 b=3.159 c=6.038 alpha=90.00 beta=97.05 gamma=90.00
Element x y z (fractional)
Li 0.236 0.000 0.198
Li 0.264 0.500 0.802
Li 0.736 0.500 0.198
Li 0.764 0.000 0.802
La 0.000 0.000 0.500
La 0.500 0.500 0.500
In 0.000 0.500 0.000
In 0.500 0.000 0.000

***

Record 3
The following is a PBEsol calculation of an optimized crystal structure of Zr2FeP, from the Alexandria database.

Summary:
Space-group type: No. 139
Fermi-level density of states: 0.817 states/eV/atom
Theoretical density: 7.02 g cm⁻³
Electronic total energy: -69.66 eV/cell

Unit cell a=4.180 b=4.180 c=7.294 alpha=90.00 beta=90.00 gamma=90.00
Element x y z (fractional)
Zr 0.000 0.500 0.250
Zr 0.000 0.500 0.750
Zr 0.500 0.000 0.250
Zr 0.500 0.000 0.750
Fe 0.000 0.000 0.000
Fe 0.500 0.500 0.500
P 0.000 0.000 0.500
P 0.500 0.500 0.000

***

Record 4
The following is a PBEsol calculation of an optimized crystal structure of KCaTe, from the Alexandria database.

Summary:
Space-group type: No. 216
Fermi-level density of states: 0.841 states/eV/atom
Raw formation energy: -288 meV/atom
Theoretical density: 2.94 g cm⁻³
Electronic total energy: -30.62 eV/cell

Unit cell a=7.763 b=7.763 c=7.763 alpha=90.00 beta=90.00 gamma=90.00
Element x y z (fractional)
K 0.000 0.000 0.000
K 0.000 0.500 0.500
K 0.500 0.000 0.500
K 0.500 0.500 0.000
Ca 0.250 0.250 0.250
Ca 0.250 0.750 0.750
Ca 0.750 0.250 0.750
Ca 0.750 0.750 0.250
Te 0.250 0.250 0.750
Te 0.250 0.750 0.250
Te 0.750 0.250 0.250
Te 0.750 0.750 0.750